This record from Alexandria describes a relaxed Rb2BaCo3F12 crystal. The functional is PBE+U.

abc: 7.241 7.241 7.241
angles: 63.66 63.66 63.66
Atoms (fractional coordinates):
Rb 0.610 0.610 0.610
Rb 0.390 0.390 0.390
Ba 0.000 0.000 0.000
Co 0.500 0.000 0.000
Co 0.000 0.500 0.000
Co 0.000 0.000 0.500
F 0.271 0.271 0.897
F 0.870 0.870 0.439
F 0.439 0.870 0.870
F 0.897 0.271 0.271
F 0.870 0.439 0.870
F 0.271 0.897 0.271
F 0.729 0.729 0.103
F 0.130 0.130 0.561
F 0.561 0.130 0.130
F 0.103 0.729 0.729
F 0.130 0.561 0.130
F 0.729 0.103 0.729

Calculated values
SG: R-3m (166)
E_tot: -4.788 eV/atom